Run one
! Ce2SbBr | Alexandria | PBE | optimized geometry; values from VASP
! Space-group type: Fm-3m (225)
! Density of states at the Fermi level (states/eV per cell): 13.54
! Calculated density (kg/m³): 7196
! Size of the total moment (μB per cell): 3.45
&SYSTEM
  ibrav = 0, nat = 4, ntyp = 3
/
ATOMIC_SPECIES
Ce 140.12 Ce.upf
Sb 121.76 Sb.upf
Br 79.90 Br.upf
CELL_PARAMETERS angstrom
0.000 3.817 3.817
3.817 0.000 3.817
3.817 3.817 0.000
ATOMIC_POSITIONS crystal
Ce 0.250 0.250 0.250
Ce 0.750 0.750 0.750
Sb 0.000 0.000 0.000
Br 0.500 0.500 0.500


Run two
! Ce2SbBr | Alexandria | PBE | optimized geometry; values from VASP
! Space-group type: P4/mmm (123)
! Density of states at the Fermi level (states/eV per cell): 12.70
! Calculated density (kg/m³): 7138
! Size of the total moment (μB per cell): 3.52
&SYSTEM
  ibrav = 0, nat = 4, ntyp = 3
/
ATOMIC_SPECIES
Ce 140.12 Ce.upf
Sb 121.76 Sb.upf
Br 79.90 Br.upf
CELL_PARAMETERS angstrom
3.821 0.000 0.000
0.000 3.821 0.000
0.000 0.000 7.679
ATOMIC_POSITIONS crystal
Ce 0.000 0.000 0.236
Ce 0.000 0.000 0.764
Sb 0.500 0.500 0.000
Br 0.500 0.500 0.500


Stability ranking, top entry: run one; the second entry is 43 meV/atom less favorable.


Run one
! Ce2SbBr | Alexandria | PBE | optimized geometry; values from VASP
! Space-group type: R-3m (166)
! Density of states at the Fermi level (states/eV per cell): 15.15
! Calculated density (kg/m³): 5238
! Size of the total moment (μB per cell): 2.58
&SYSTEM
  ibrav = 0, nat = 4, ntyp = 3
/
ATOMIC_SPECIES
Ce 140.12 Ce.upf
Sb 121.76 Sb.upf
Br 79.90 Br.upf
CELL_PARAMETERS angstrom
2.146 1.239 9.580
-2.146 1.239 9.580
0.000 -2.478 9.580
ATOMIC_POSITIONS crystal
Ce 0.101 0.101 0.101
Ce 0.899 0.899 0.899
Sb 0.500 0.500 0.500
Br 0.000 0.000 0.000


Run two
! Ce2SbBr | Alexandria | PBE | optimized geometry; values from VASP
! Space-group type: Pnma (62)
! Density of states at the Fermi level (states/eV per cell): 58.44
! Calculated density (kg/m³): 6535
! Size of the total moment (μB per cell): 9.25
&SYSTEM
  ibrav = 0, nat = 16, ntyp = 3
/
ATOMIC_SPECIES
Ce 140.12 Ce.upf
Sb 121.76 Sb.upf
Br 79.90 Br.upf
CELL_PARAMETERS angstrom
7.824 0.000 0.000
0.000 4.277 0.000
0.000 0.000 14.636
ATOMIC_POSITIONS crystal
Ce 0.156 0.250 0.236
Ce 0.205 0.750 0.000
Ce 0.295 0.250 0.500
Ce 0.344 0.750 0.736
Ce 0.656 0.250 0.264
Ce 0.705 0.750 0.500
Ce 0.795 0.250 0.000
Ce 0.844 0.750 0.764
Sb 0.101 0.250 0.849
Sb 0.399 0.750 0.349
Sb 0.601 0.250 0.651
Sb 0.899 0.750 0.151
Br 0.070 0.750 0.596
Br 0.430 0.250 0.096
Br 0.570 0.750 0.904
Br 0.930 0.250 0.404


Run three
! Ce2SbBr | Alexandria | PBE | optimized geometry; values from VASP
! Space-group type: R3m (160)
! Density of states at the Fermi level (states/eV per cell): 13.73
! Calculated density (kg/m³): 6498
! Size of the total moment (μB per cell): 2.59
&SYSTEM
  ibrav = 0, nat = 4, ntyp = 3
/
ATOMIC_SPECIES
Ce 140.12 Ce.upf
Sb 121.76 Sb.upf
Br 79.90 Br.upf
CELL_PARAMETERS angstrom
2.122 1.225 7.891
-2.122 1.225 7.891
0.000 -2.451 7.891
ATOMIC_POSITIONS crystal
Ce 0.000 0.000 0.000
Ce 0.174 0.174 0.174
Sb 0.586 0.586 0.586
Br 0.756 0.756 0.756


Stability ranking, top entry: run two; the second entry is 90 meV/atom less favorable.


Run one
! Ce4SbBr5 | Alexandria | PBE | optimized geometry; values from VASP
! Space-group type: C2/m (12)
! Density of states at the Fermi level (states/eV per cell): 25.31
! Calculated density (kg/m³): 5261
! Size of the total moment (μB per cell): 5.65
&SYSTEM
  ibrav = 0, nat = 10, ntyp = 3
/
ATOMIC_SPECIES
Ce 140.12 Ce.upf
Sb 121.76 Sb.upf
Br 79.90 Br.upf
CELL_PARAMETERS angstrom
9.223 -2.087 0.000
9.223 2.087 0.000
-1.651 0.000 8.870
ATOMIC_POSITIONS crystal
Ce 0.004 0.004 0.247
Ce 0.330 0.330 0.936
Ce 0.670 0.670 0.064
Ce 0.996 0.996 0.753
Sb 0.500 0.500 0.000
Br 0.165 0.165 0.810
Br 0.169 0.169 0.311
Br 0.500 0.500 0.500
Br 0.831 0.831 0.689
Br 0.835 0.835 0.190


Run two
! Ce4SbBr5 | Alexandria | PBE | optimized geometry; values from VASP
! Space-group type: Pmmn (59)
! Density of states at the Fermi level (states/eV per cell): 53.66
! Calculated density (kg/m³): 5391
! Size of the total moment (μB per cell): 7.98
&SYSTEM
  ibrav = 0, nat = 20, ntyp = 3
/
ATOMIC_SPECIES
Ce 140.12 Ce.upf
Sb 121.76 Sb.upf
Br 79.90 Br.upf
CELL_PARAMETERS angstrom
8.849 0.000 0.000
0.000 10.487 0.000
0.000 0.000 7.181
ATOMIC_POSITIONS crystal
Ce 0.095 0.250 0.016
Ce 0.250 0.506 0.602
Ce 0.250 0.994 0.602
Ce 0.405 0.250 0.016
Ce 0.595 0.750 0.984
Ce 0.750 0.006 0.398
Ce 0.750 0.494 0.398
Ce 0.905 0.750 0.984
Sb 0.250 0.750 0.834
Sb 0.750 0.250 0.166
Br 0.049 0.557 0.249
Br 0.049 0.943 0.249
Br 0.250 0.250 0.391
Br 0.451 0.557 0.249
Br 0.451 0.943 0.249
Br 0.549 0.057 0.751
Br 0.549 0.443 0.751
Br 0.750 0.750 0.609
Br 0.951 0.057 0.751
Br 0.951 0.443 0.751


Stability ranking, top entry: run one; the second entry is 211 meV/atom less favorable.


Run one
! Ce2SeBr | Alexandria | PBE | optimized geometry; values from VASP
! Space-group type: P4/mmm (123)
! Density of states at the Fermi level (states/eV per cell): 14.70
! Calculated density (kg/m³): 7351
! Size of the total moment (μB per cell): 3.08
&SYSTEM
  ibrav = 0, nat = 4, ntyp = 3
/
ATOMIC_SPECIES
Ce 140.12 Ce.upf
Se 78.96 Se.upf
Br 79.90 Br.upf
CELL_PARAMETERS angstrom
3.673 0.000 0.000
0.000 3.673 0.000
0.000 0.000 7.352
ATOMIC_POSITIONS crystal
Ce 0.000 0.000 0.236
Ce 0.000 0.000 0.764
Se 0.500 0.500 0.000
Br 0.500 0.500 0.500


Run two
! Ce2SeBr | Alexandria | PBE | optimized geometry; values from VASP
! Space-group type: R3m (160)
! Density of states at the Fermi level (states/eV per cell): 11.95
! Calculated density (kg/m³): 6673
! Size of the total moment (μB per cell): 2.76
&SYSTEM
  ibrav = 0, nat = 4, ntyp = 3
/
ATOMIC_SPECIES
Ce 140.12 Ce.upf
Se 78.96 Se.upf
Br 79.90 Br.upf
CELL_PARAMETERS angstrom
2.010 1.160 7.808
-2.010 1.160 7.808
0.000 -2.321 7.808
ATOMIC_POSITIONS crystal
Ce 0.000 0.000 0.000
Ce 0.184 0.184 0.184
Se 0.592 0.592 0.592
Br 0.760 0.760 0.760


Run three
! Ce2SeBr | Alexandria | PBE | optimized geometry; values from VASP
! Space-group type: R-3m (166)
! Density of states at the Fermi level (states/eV per cell): 12.40
! Calculated density (kg/m³): 6920
! Size of the total moment (μB per cell): 1.91
&SYSTEM
  ibrav = 0, nat = 4, ntyp = 3
/
ATOMIC_SPECIES
Ce 140.12 Ce.upf
Se 78.96 Se.upf
Br 79.90 Br.upf
CELL_PARAMETERS angstrom
2.109 1.218 6.838
-2.109 1.218 6.838
0.000 -2.435 6.838
ATOMIC_POSITIONS crystal
Ce 0.246 0.246 0.246
Ce 0.754 0.754 0.754
Se 0.500 0.500 0.500
Br 0.000 0.000 0.000


Stability ranking, top entry: run three; the second entry is 36 meV/atom less favorable.